DFT (PBE-GGA) results for an optimized crystal structure of Ba2Li2Cd.

Lattice parameters (Å, degrees): 9.7483 9.7483 4.5926 90.00 90.00 90.00
Last column: nearest neighbours and their distance in Å.
Fractional coordinates of all 10 atoms:
1 Li 0.1145 0.6145 0.5000  1 Li 3.16
2 Li 0.6145 0.8855 0.5000  1 Li 3.16
3 Li 0.8855 0.3855 0.5000  1 Li 3.16
4 Li 0.3855 0.1145 0.5000  1 Li 3.16
5 Ba 0.3275 0.8275 0.0000  2 Cd 3.61, 6 Li 3.66-3.73
6 Ba 0.8275 0.6725 0.0000  2 Cd 3.61, 6 Li 3.66-3.73
7 Ba 0.6725 0.1725 0.0000  2 Cd 3.61, 6 Li 3.66-3.73
8 Ba 0.1725 0.3275 0.0000  2 Cd 3.61, 6 Li 3.66-3.73
9 Cd 0.0000 0.0000 0.0000  4 Ba 3.61
10 Cd 0.5000 0.5000 0.0000  4 Ba 3.61

Values from the calculation:
DOS at the Fermi energy = 0.750 states/eV/atom
Energy = -1.587 eV/atom
SG = P4/mbm (127)
ΔH_f (0 K) = 131 meV per atom
Energy above the most stable polymorph in this dataset = 251 meV per atom

DFT (PBE-GGA) results for an optimized crystal structure of Nd10Tl3Sb3.

Lattice parameters (Å, degrees): 6.7798 9.3141 9.3141 120.00 90.00 90.00
Last column: nearest neighbours and their distance in Å.
Fractional coordinates of all 16 atoms:
1 Nd 0.2452 0.6667 0.3333  3 Sb 3.32, 2 Nd 3.33-3.45, 3 Tl 3.34
2 Nd 0.2452 0.3333 0.6667  3 Sb 3.32, 2 Nd 3.33-3.45, 3 Tl 3.34
3 Nd 0.7548 0.3333 0.6667  3 Sb 3.32, 2 Nd 3.33-3.45, 3 Tl 3.34
4 Nd 0.7548 0.6667 0.3333  3 Sb 3.32, 2 Nd 3.33-3.45, 3 Tl 3.34
5 Nd 0.5000 0.0000 0.7598  3 Tl 3.22-3.39
6 Nd 0.5000 0.7598 0.0000  3 Tl 3.22-3.39
7 Nd 0.5000 0.2402 0.2402  3 Tl 3.22-3.39
8 Nd 0.0000 0.0000 0.2418  3 Sb 3.18-3.43
9 Nd 0.0000 0.2418 0.0000  3 Sb 3.18-3.43
10 Nd 0.0000 0.7582 0.7582  3 Sb 3.18-3.43
11 Tl 0.5000 0.0000 0.3957  7 Nd 3.22-3.39
12 Tl 0.5000 0.3957 0.0000  7 Nd 3.22-3.39
13 Tl 0.5000 0.6043 0.6043  7 Nd 3.22-3.39
14 Sb 0.0000 0.0000 0.6100  7 Nd 3.18-3.43
15 Sb 0.0000 0.6100 0.0000  7 Nd 3.18-3.43
16 Sb 0.0000 0.3900 0.3900  7 Nd 3.18-3.43

Values from the calculation:
DOS at the Fermi energy = 1.188 states/eV/atom
Energy = -4.825 eV/atom
SG = P-62m (189)
Uncorrected formation energy = -628 meV per atom

DFT (PBE-GGA) results for an optimized crystal structure of BeTcOsPt2.

Lattice parameters (Å, degrees): 4.8547 4.6070 4.8547 90.00 90.00 90.00
Last column: nearest neighbours and their distance in Å.
Fractional coordinates of all 5 atoms:
1 Be 0.5000 0.5000 0.5000  8 Pt 3.35, 4 Tc 3.43
2 Os 0.0000 0.0000 0.0000  2 Tc 2.30, 4 Pt 2.43
3 Tc 0.0000 0.5000 0.0000  2 Os 2.30
4 Pt 0.0000 0.0000 0.5000  2 Os 2.43
5 Pt 0.5000 0.0000 0.0000  2 Os 2.43

Values from the calculation:
DOS at the Fermi energy = 1.008 states/eV/atom
Energy = -5.750 eV/atom
SG = P4/mmm (123)
ΔH_f (0 K) = 1731 meV per atom

DFT (PBE-GGA) results for an optimized crystal structure of LaInPd.

Lattice parameters (Å, degrees): 3.7984 4.8007 4.8007 120.00 90.00 90.00
Last column: nearest neighbours and their distance in Å.
Fractional coordinates of all 3 atoms:
1 In 0.1667 0.3333 0.6667  3 Pd 2.77
2 Pd 0.1667 0.0000 0.0000  3 In 2.77
3 La 0.6666 0.6667 0.3333  6 In 3.36, 6 Pd 3.36

Values from the calculation:
DOS at the Fermi energy = 0.747 states/eV/atom
Energy = -4.988 eV/atom
SG = P-6m2 (187)
ΔH_f (0 K) = -702 meV per atom

DFT (PBE-GGA) results for an optimized crystal structure of Li2Nd2MgAl5.

Lattice parameters (Å, degrees): 4.3672 9.5293 9.5293 90.00 90.00 90.00
Last column: nearest neighbours and their distance in Å.
Fractional coordinates of all 20 atoms:
1 Li 0.0000 0.1103 0.6103  6 Al 2.64-2.83, 3 Nd 2.77-2.89
2 Li 0.0000 0.8897 0.3897  6 Al 2.64-2.83, 3 Nd 2.77-2.89
3 Li 0.0000 0.6103 0.8897  6 Al 2.64-2.83, 3 Nd 2.77-2.89
4 Li 0.0000 0.3897 0.1103  6 Al 2.64-2.83, 3 Nd 2.77-2.89
5 Nd 0.0000 0.6840 0.1840  3 Li 2.77-2.89
6 Nd 0.0000 0.3160 0.8160  3 Li 2.77-2.89
7 Nd 0.0000 0.1840 0.3160  3 Li 2.77-2.89
8 Nd 0.0000 0.8160 0.6840  3 Li 2.77-2.89
9 Mg 0.0000 0.0000 0.0000  8 Al 3.00
10 Mg 0.0000 0.5000 0.5000  8 Al 3.00
11 Al 0.5000 0.2085 0.0588  2 Li 2.83, 4 Al 2.83-3.14, 2 Mg 3.00
12 Al 0.5000 0.7915 0.9412  2 Li 2.83, 4 Al 2.83-3.14, 2 Mg 3.00
13 Al 0.5000 0.0588 0.7915  2 Li 2.83, 4 Al 2.83-3.14, 2 Mg 3.00
14 Al 0.5000 0.7085 0.4412  2 Li 2.83, 4 Al 2.83-3.14, 2 Mg 3.00
15 Al 0.5000 0.9412 0.2085  2 Li 2.83, 4 Al 2.83-3.14, 2 Mg 3.00
16 Al 0.5000 0.2915 0.5588  2 Li 2.83, 4 Al 2.83-3.14, 2 Mg 3.00
17 Al 0.5000 0.5588 0.7085  2 Li 2.83, 4 Al 2.83-3.14, 2 Mg 3.00
18 Al 0.5000 0.4412 0.2915  2 Li 2.83, 4 Al 2.83-3.14, 2 Mg 3.00
19 Al 0.5000 0.5000 0.0000  4 Li 2.64, 4 Al 2.83
20 Al 0.5000 0.0000 0.5000  4 Li 2.64, 4 Al 2.83

Values from the calculation:
DOS at the Fermi energy = 0.316 states/eV/atom
Energy = -3.667 eV/atom
SG = P4/mbm (127)
ΔH_f (0 K) = -300 meV per atom

DFT (PBE-GGA) results for an optimized crystal structure of Ni2IrAu.

Lattice parameters (Å, degrees): 2.7062 3.6815 5.5513 90.00 90.00 90.00
Last column: nearest neighbours and their distance in Å.
Fractional coordinates of all 4 atoms:
1 Au 0.0000 0.0000 0.4840  6 Ni 2.68-2.85, 2 Au 2.71, 4 Ir 2.84
2 Ir 0.5000 0.5000 0.7864  5 Ni 2.47-2.57, 2 Ir 2.71
3 Ni 0.0000 0.0000 0.9975  4 Ir 2.57, 6 Ni 2.63-2.71, 2 Au 2.70-2.85
4 Ni 0.5000 0.5000 0.2321  1 Ir 2.47, 6 Ni 2.63-2.71, 4 Au 2.68

Values from the calculation:
DOS at the Fermi energy = 1.374 states/eV/atom
Energy = -5.720 eV/atom
SG = Pmm2 (25)
ΔH_f (0 K) = 205 meV per atom
Energy above the most stable polymorph in this dataset = 134 meV per atom

DFT (PBE-GGA) results for an optimized crystal structure of Hf2ZrGa2.

Lattice parameters (Å, degrees): 7.4157 7.4157 3.5599 90.00 90.00 90.00
Last column: nearest neighbours and their distance in Å.
Fractional coordinates of all 10 atoms:
1 Hf 0.1775 0.6775 0.5000  6 Ga 2.75-2.88
2 Hf 0.6775 0.8225 0.5000  6 Ga 2.75-2.88
3 Hf 0.8225 0.3225 0.5000  6 Ga 2.75-2.88
4 Hf 0.3225 0.1775 0.5000  6 Ga 2.75-2.88
5 Ga 0.3778 0.8778 0.0000  1 Ga 2.56, 2 Hf 2.75
6 Ga 0.8778 0.6222 0.0000  1 Ga 2.56, 2 Hf 2.75
7 Ga 0.6222 0.1222 0.0000  1 Ga 2.56, 2 Hf 2.75
8 Ga 0.1222 0.3778 0.0000  1 Ga 2.56, 2 Hf 2.75
9 Zr 0.0000 0.0000 0.0000  4 Ga 2.94, 8 Hf 3.26
10 Zr 0.5000 0.5000 0.0000  4 Ga 2.94, 8 Hf 3.26

Values from the calculation:
DOS at the Fermi energy = 1.094 states/eV/atom
Energy = -7.366 eV/atom
SG = P4/mbm (127)
ΔH_f (0 K) = -464 meV per atom
Energy above the most stable polymorph in this dataset = 0 meV per atom

DFT (PBE-GGA) results for an optimized crystal structure of BaRu3.

Lattice parameters (Å, degrees): 4.8501 4.8501 4.8501 124.92 124.92 81.66
Last column: nearest neighbours and their distance in Å.
Fractional coordinates of all 4 atoms:
1 Ba 0.0000 0.0000 0.0000  12 Ru 2.90-3.17
2 Ru 0.2500 0.7500 0.5000  4 Ba 2.90, 8 Ru 2.90-3.17
3 Ru 0.5000 0.5000 0.0000  8 Ru 2.90, 4 Ba 3.17
4 Ru 0.7500 0.2500 0.5000  4 Ba 2.90, 8 Ru 2.90-3.17

Values from the calculation:
DOS at the Fermi energy = 1.726 states/eV/atom
Energy = -6.258 eV/atom
SG = I4/mmm (139)
ΔH_f (0 K) = 1179 meV per atom

DFT (PBE-GGA) results for an optimized crystal structure of ZrCu2HIr.

Lattice parameters (Å, degrees): 3.8534 3.8534 4.2438 90.00 90.00 90.00
Last column: nearest neighbours and their distance in Å.
Fractional coordinates of all 5 atoms:
1 H 0.0000 0.0000 0.0000  4 Cu 1.93, 2 Zr 2.12
2 Ir 0.5000 0.5000 0.5000  4 Zr 2.72, 8 Cu 2.87
3 Cu 0.0000 0.5000 0.0000  2 H 1.93
4 Cu 0.5000 0.0000 0.0000  2 H 1.93
5 Zr 0.0000 0.0000 0.5000  2 H 2.12

Values from the calculation:
DOS at the Fermi energy = 0.307 states/eV/atom
Energy = -6.000 eV/atom
SG = P4/mmm (123)

DFT (PBE-GGA) results for an optimized crystal structure of Pr5SmHo4.

Lattice parameters (Å, degrees): 6.3657 7.9985 7.9985 80.89 66.55 66.55
Last column: nearest neighbours and their distance in Å.
Fractional coordinates of all 10 atoms:
1 Pr 0.8027 0.3824 0.9161  4 Ho 3.25-3.58, 1 Pr 3.35, 1 Sm 3.35
2 Pr 0.1851 0.9161 0.6176  4 Ho 3.25-3.58, 1 Pr 3.35, 1 Sm 3.35
3 Pr 0.7188 0.0839 0.3824  4 Ho 3.25-3.58, 1 Pr 3.35, 1 Sm 3.35
4 Pr 0.1012 0.6176 0.0839  4 Ho 3.25-3.58, 1 Pr 3.35, 1 Sm 3.35
5 Pr 0.6820 0.0000 0.0000  1 Sm 2.92
6 Sm 0.2234 0.0000 0.0000  1 Pr 2.92
7 Ho 0.4025 0.3947 0.6989  4 Pr 3.25-3.58, 1 Ho 3.30
8 Ho 0.7972 0.6989 0.6053  4 Pr 3.25-3.58, 1 Ho 3.30
9 Ho 0.1014 0.3011 0.3947  4 Pr 3.25-3.58, 1 Ho 3.30
10 Ho 0.4961 0.6053 0.3011  4 Pr 3.25-3.58, 1 Ho 3.30

Values from the calculation:
DOS at the Fermi energy = 1.472 states/eV/atom
Energy = -4.413 eV/atom
SG = I4 (79)
ΔH_f (0 K) = 279 meV per atom
Energy above the most stable polymorph in this dataset = 263 meV per atom

DFT (PBE-GGA) results for an optimized crystal structure of ZrSb2Rh.

Lattice parameters (Å, degrees): 7.5993 7.5993 6.2004 52.21 52.21 90.00
Last column: nearest neighbours and their distance in Å.
Fractional coordinates of all 8 atoms:
1 Sb 0.6655 0.1250 0.2500  2 Rh 2.60
2 Sb 0.0845 0.6250 0.2500  2 Rh 2.60
3 Sb 0.3750 0.3345 0.7500  2 Rh 2.60
4 Sb 0.8750 0.9155 0.7500  2 Rh 2.60
5 Rh 0.0000 0.0000 0.0000  4 Sb 2.60
6 Rh 0.7500 0.2500 0.5000  4 Sb 2.60
7 Zr 0.5000 0.5000 0.0000  4 Sb 3.01, 2 Rh 3.09
8 Zr 0.2500 0.7500 0.5000  4 Sb 3.01, 2 Rh 3.09

Values from the calculation:
DOS at the Fermi energy = 0.888 states/eV/atom
Energy = -6.263 eV/atom
SG = I-42d (122)
Uncorrected formation energy = -227 meV per atom